(1)
A PBEsol-optimized structure of La2TcP2. Source: Alexandria via LeMat-Bulk, functional SCAN.

Cell lengths 6.454, 6.454, 4.661 Å; angles 90.00, 90.00, 90.00 degrees
Element x y z (fractional)
La (0.180, 0.320, 0.000)
La (0.320, 0.820, 0.000)
La (0.680, 0.180, 0.000)
La (0.820, 0.680, 0.000)
Tc (0.000, 0.000, 0.500)
Tc (0.500, 0.500, 0.500)
P (0.132, 0.632, 0.500)
P (0.368, 0.132, 0.500)
P (0.632, 0.868, 0.500)
P (0.868, 0.368, 0.500)

Results
Electronic total energy = -29.3701 eV per atom
D(E_F) = 6.97 states/eV/cell
Crystal system = tetragonal
Space-group type = P4/mbm

=====

(2)
A PBEsol-optimized structure of LaTcP. Source: Alexandria via LeMat-Bulk, functional SCAN.

Cell lengths 4.043, 4.043, 4.339 Å; angles 90.00, 90.00, 120.00 degrees
Element x y z (fractional)
La (0.000, 0.000, 0.000)
Tc (0.333, 0.667, 0.500)
P (0.667, 0.333, 0.500)

Results
Electronic total energy = -30.2697 eV per atom
D(E_F) = 2.98 states/eV/cell
Crystal system = hexagonal
Space-group type = P-6m2

=====

(3)
A PBEsol-optimized structure of LaTcP3. Source: Alexandria via LeMat-Bulk, functional SCAN.

Cell lengths 4.616, 4.616, 4.616 Å; angles 90.00, 90.00, 90.00 degrees
Element x y z (fractional)
La (0.000, 0.000, 0.000)
Tc (0.500, 0.500, 0.500)
P (0.000, 0.500, 0.500)
P (0.500, 0.000, 0.500)
P (0.500, 0.500, 0.000)

Results
Electronic total energy = -22.2448 eV per atom
D(E_F) = 4.77 states/eV/cell
Crystal system = cubic
Space-group type = Pm-3m

=====

(4)
A PBEsol-optimized structure of La2TcP. Source: Alexandria via LeMat-Bulk, functional SCAN.

Cell lengths 3.180, 3.180, 8.849 Å; angles 90.00, 90.00, 90.00 degrees
Element x y z (fractional)
La (0.000, 0.000, 0.000)
La (0.500, 0.500, 0.396)
Tc (0.500, 0.500, 0.748)
P (0.000, 0.000, 0.638)

Results
Electronic total energy = -33.2861 eV per atom
D(E_F) = 2.96 states/eV/cell
Crystal system = tetragonal
Space-group type = P4mm

=====

(5)
A PBEsol-optimized structure of La2TcP. Source: Alexandria via LeMat-Bulk, functional SCAN.

Cell lengths 4.854, 4.854, 4.854 Å; angles 60.00, 60.00, 60.00 degrees
Element x y z (fractional)
La (0.000, 0.000, 0.000)
La (0.250, 0.250, 0.250)
Tc (0.500, 0.500, 0.500)
P (0.750, 0.750, 0.750)

Results
Electronic total energy = -33.0319 eV per atom
D(E_F) = 1.65 states/eV/cell
Crystal system = cubic
Space-group type = F-43m

=====

(6)
A PBEsol-optimized structure of La2TcP. Source: Alexandria via LeMat-Bulk, functional SCAN.

Cell lengths 4.206, 5.602, 5.602 Å; angles 44.34, 90.00, 90.00 degrees
Element x y z (fractional)
La (0.000, 0.000, 0.000)
La (0.500, 0.281, 0.281)
Tc (0.500, 0.579, 0.579)
P (0.000, 0.701, 0.701)

Results
Electronic total energy = -33.6248 eV per atom
D(E_F) = 2.94 states/eV/cell
Crystal system = orthorhombic
Space-group type = Amm2

=====

(7)
A PBEsol-optimized structure of La2TcP. Source: Alexandria via LeMat-Bulk, functional SCAN.

Cell lengths 6.578, 6.578, 6.578 Å; angles 147.96, 141.44, 50.98 degrees
Element x y z (fractional)
La (0.000, 0.000, 0.000)
La (0.738, 0.238, 0.500)
Tc (0.454, 0.454, 0.000)
P (0.324, 0.824, 0.500)

Results
Electronic total energy = -33.5385 eV per atom
D(E_F) = 2.90 states/eV/cell
Crystal system = orthorhombic
Space-group type = Imm2

=====

(8)
A PBEsol-optimized structure of LaTc2P2. Source: Alexandria via LeMat-Bulk, functional SCAN.

Cell lengths 5.437, 5.437, 5.437 Å; angles 132.20, 132.20, 69.91 degrees
Element x y z (fractional)
La (0.000, 0.000, 0.000)
Tc (0.371, 0.371, 0.000)
Tc (0.629, 0.629, 0.000)
P (0.250, 0.750, 0.500)
P (0.750, 0.250, 0.500)

Results
Electronic total energy = -27.5257 eV per atom
D(E_F) = 3.40 states/eV/cell
Crystal system = tetragonal
Space-group type = I4/mmm

=====

(9)
A PBEsol-optimized structure of LaY2TcP. Source: Alexandria via LeMat-Bulk, functional SCAN.

Cell lengths 5.097, 5.097, 5.513 Å; angles 90.00, 90.00, 90.00 degrees
Element x y z (fractional)
La (0.000, 0.000, 0.000)
Y (0.000, 0.500, 0.500)
Y (0.500, 0.000, 0.500)
Tc (0.500, 0.500, 0.000)
P (0.000, 0.000, 0.500)

Results
Electronic total energy = -28.8423 eV per atom
D(E_F) = 5.96 states/eV/cell
Crystal system = tetragonal
Space-group type = P4/mmm

=====

(10)
A PBEsol-optimized structure of LaTeP4. Source: Alexandria via LeMat-Bulk, functional SCAN.

Cell lengths 5.545, 5.545, 5.545 Å; angles 60.00, 60.00, 60.00 degrees
Element x y z (fractional)
La (0.000, 0.000, 0.000)
Te (0.750, 0.750, 0.750)
P (0.396, 0.396, 0.396)
P (0.396, 0.396, 0.812)
P (0.396, 0.812, 0.396)
P (0.812, 0.396, 0.396)

Results
D(E_F) = 2.71 states/eV/cell
E_form (uncorrected) = -0.24 eV per atom
Crystal system = cubic
Space-group type = F-43m

=====

(11)
A PBEsol-optimized structure of LaTi3P. Source: Alexandria via LeMat-Bulk, functional SCAN.

Cell lengths 4.674, 4.674, 4.674 Å; angles 90.00, 90.00, 90.00 degrees
Element x y z (fractional)
La (0.000, 0.000, 0.000)
Ti (0.000, 0.000, 0.500)
Ti (0.000, 0.500, 0.000)
Ti (0.500, 0.000, 0.000)
P (0.500, 0.500, 0.500)

Results
Electronic total energy = -18.8715 eV per atom
D(E_F) = 4.64 states/eV/cell
Crystal system = cubic
Space-group type = Pm-3m

=====

(12)
A PBEsol-optimized structure of LaTlP. Source: Alexandria via LeMat-Bulk, functional SCAN.

Cell lengths 4.676, 4.676, 7.961 Å; angles 90.00, 90.00, 120.00 degrees
Element x y z (fractional)
La (0.000, 0.000, 0.000)
La (0.000, 0.000, 0.500)
Tl (0.333, 0.667, 0.250)
Tl (0.667, 0.333, 0.750)
P (0.333, 0.667, 0.750)
P (0.667, 0.333, 0.250)

Results
Electronic total energy = -42.5210 eV per atom
D(E_F) = 3.31 states/eV/cell
Crystal system = hexagonal
Space-group type = P6_3/mmc

=====

(13)
A PBEsol-optimized structure of LaTlP2. Source: Alexandria via LeMat-Bulk, functional SCAN.

Cell lengths 6.410, 6.410, 6.410 Å; angles 111.74, 111.74, 105.03 degrees
Element x y z (fractional)
La (0.000, 0.000, 0.000)
La (0.750, 0.250, 0.500)
Tl (0.250, 0.750, 0.500)
Tl (0.500, 0.500, 0.000)
P (0.159, 0.625, 0.034)
P (0.375, 0.409, 0.534)
P (0.591, 0.125, 0.966)
P (0.875, 0.841, 0.466)

Results
Electronic total energy = -34.5929 eV per atom
D(E_F) = 0.25 states/eV/cell
Crystal system = tetragonal
Space-group type = I-42d

=====

(14)
A PBEsol-optimized structure of LaTlP. Source: Alexandria via LeMat-Bulk, functional SCAN.

Cell lengths 4.895, 4.895, 4.895 Å; angles 60.00, 60.00, 60.00 degrees
Element x y z (fractional)
La (0.000, 0.000, 0.000)
Tl (0.500, 0.500, 0.500)
P (0.750, 0.750, 0.750)

Results
Electronic total energy = -42.5925 eV per atom
D(E_F) = 2.66 states/eV/cell
Crystal system = cubic
Space-group type = F-43m

=====

(15)
A PBEsol-optimized structure of LaTlP4. Source: Alexandria via LeMat-Bulk, functional SCAN.

Cell lengths 5.447, 5.447, 5.447 Å; angles 60.00, 60.00, 60.00 degrees
Element x y z (fractional)
La (0.000, 0.000, 0.000)
Tl (0.750, 0.750, 0.750)
P (0.386, 0.386, 0.386)
P (0.386, 0.386, 0.841)
P (0.386, 0.841, 0.386)
P (0.841, 0.386, 0.386)

Results
Electronic total energy = -26.3077 eV per atom
D(E_F) = 2.28 states/eV/cell
Crystal system = cubic
Space-group type = F-43m